No. 1
The following is a DFT calculation (GGA-PBE) of a relaxed structure of Pr3GaNi3.

Computed properties:
Size of the total moment in μB/atom: 0.000
Energy above the most stable polymorph in this dataset in kJ/mol of atoms: 24.6
Energy relative to the elements in eV per atom: -0.15
Energy in eV/cell: -71.5

a b c (Å): 5.609 8.494 8.494
angles (deg): 120.00 90.00 90.00
Atoms (fractional coordinates):
Pr: 0.250 0.302 0.356
Ni: 0.750 0.318 0.378
Pr: 0.750 0.356 0.054
Pr: 0.750 0.698 0.644
Pr: 0.250 0.054 0.698
Ni: 0.250 0.682 0.622
Ga: 0.250 0.667 0.333
Pr: 0.750 0.946 0.302
Ni: 0.750 0.060 0.682
Pr: 0.250 0.644 0.946
Ni: 0.250 0.940 0.318
Ni: 0.250 0.378 0.060
Ni: 0.750 0.622 0.940
Ga: 0.750 0.333 0.667


No. 2
The following is a DFT calculation (GGA-PBE) of a relaxed structure of Li3Cd3Pd2.

Computed properties:
Size of the total moment in μB/atom: 0.000
Energy above the most stable polymorph in this dataset in kJ/mol of atoms: 3.2
Energy relative to the elements in eV per atom: -0.29
Energy in eV/cell: -42.4

a b c (Å): 5.600 7.935 7.935
angles (deg): 60.00 90.00 90.00
Atoms (fractional coordinates):
Cd: 0.750 0.398 0.000
Li: 0.750 0.252 0.748
Li: 0.250 0.252 0.000
Li: 0.250 0.000 0.748
Pd: 0.000 0.667 0.667
Cd: 0.750 0.000 0.602
Pd: 0.000 0.333 0.333
Cd: 0.750 0.602 0.398
Li: 0.750 0.000 0.252
Pd: 0.500 0.333 0.333
Li: 0.250 0.748 0.252
Li: 0.750 0.748 0.000
Cd: 0.250 0.000 0.398
Pd: 0.500 0.667 0.667
Cd: 0.250 0.602 0.000
Cd: 0.250 0.398 0.602


No. 3
The following is a DFT calculation (GGA-PBE) of a relaxed structure of CaCo2Br.

Computed properties:
E_form (uncorrected) in eV/atom: -0.10
Size of the total moment in μB/atom: 0.819
Energy above the most stable polymorph in this dataset in kJ/mol of atoms: 6.7
Energy in eV/cell: -18.3

a b c (Å): 3.377 3.459 7.140
angles (deg): 76.04 90.00 90.00
Atoms (fractional coordinates):
Ca: 0.500 0.932 0.760
Br: 0.000 0.552 0.519
Co: 0.000 0.749 0.128
Co: 0.500 0.267 0.093


Q: Which of these has the highest energy above the most stable polymorph in this dataset?
A: Pr3GaNi3